Entry from the Alexandria database: an optimized crystal structure of Ti2VInBi (GGA-PBE).

Results
* ρ: 6.8 Mg/m³
* SG: P4/mmm, No. 123
* formation enthalpy at 0 K: 58 kJ per mole of atoms
* spin magnetization: 0.0 μB/f.u.

a b c (Å): 4.700 5.173 4.700
angles (deg): 90.00 90.00 90.00
Atoms (fractional coordinates):
In: 0.500 0.500 0.500
V: 0.000 0.000 0.000
Ti: 0.000 0.000 0.500
Ti: 0.500 0.000 0.000
Bi: 0.000 0.500 0.000